Record 1
Entry from Alexandria: a relaxed TbCeMgAg crystal (PBE-GGA).

Structure (POSCAR):
```
TbCeMgAg
1.0
0.0000 3.7593 3.7593
3.7593 0.0000 3.7593
3.7593 3.7593 0.0000
Tb Ce Mg Ag
1 1 1 1
direct
0.0000 0.0000 0.0000 Tb
0.5000 0.5000 0.5000 Ce
0.2500 0.2500 0.2500 Mg
0.7500 0.7500 0.7500 Ag
```

## Properties
* ΔH_f (0 K): -0.028 eV/atom
* SG: No. 216
* size of the total moment: 1.3 μB per cell


Record 2
Entry from Alexandria: a relaxed Ca2MoPt crystal (PBE-GGA).

Structure (POSCAR):
```
Ca2MoPt
1.0
0.0000 3.5018 3.5018
3.5018 0.0000 3.5018
3.5018 3.5018 0.0000
Ca Mo Pt
2 1 1
direct
0.0000 0.0000 0.0000 Ca
0.2500 0.2500 0.2500 Ca
0.5000 0.5000 0.5000 Mo
0.7500 0.7500 0.7500 Pt
```

## Properties
* ΔH_f (0 K): 0.297 eV/atom
* SG: No. 216
* size of the total moment: 2.9 μB per cell


Record 3
Entry from Alexandria: a relaxed Fe2AgHg crystal (PBE-GGA).

Structure (POSCAR):
```
Fe2AgHg
1.0
1.4676 0.8473 8.7434
-1.4676 0.8473 8.7434
0.0000 -1.6946 8.7434
Fe Ag Hg
2 1 1
direct
0.0000 0.0000 0.0000 Fe
0.2693 0.2693 0.2693 Fe
0.5186 0.5186 0.5186 Ag
0.7546 0.7546 0.7546 Hg
```

## Properties
* ΔH_f (0 K): 0.330 eV/atom
* SG: No. 160
* size of the total moment: 5.3 μB per cell